# 1
A relaxed FePRu2 crystal. Source: Alexandria via LeMat-Bulk, functional PBE.

Space group   No. 44
ρ   9.65 Mg/m³
Formation energy   -172.5 meV/atom
Total moment   1.1 μB per cell

Cell: 4.9290 4.9290 4.1601 Å, 65.05 65.05 33.24°
Closest atoms and distances in Å follow each position.
Fractional coordinates of all 4 atoms:
Ru  0.9685  0.9685  0.0314  2 P 2.38, 4 Fe 2.58
Ru  0.7524  0.7524  0.7476  4 P 2.51-2.52, 4 Fe 2.77-2.79, 4 Ru 2.77-2.79
P  0.2422  0.2422  0.2582  2 Fe 2.24, 2 Ru 2.38
Fe  0.5370  0.5370  0.4629  2 P 2.24

---

# 2
A relaxed La4PbI4 crystal. Source: Alexandria via LeMat-Bulk, functional PBE.

Space group   No. 12
ρ   6.72 Mg/m³
Raw formation energy   -98.0 kJ/mol of atoms
Total moment   0.0 μB per cell

Cell: 5.6781 5.6764 11.7215 Å, 90.05 75.98 59.99°
Closest atoms and distances in Å follow each position.
Fractional coordinates of all 9 atoms:
I  0.3061  0.5965  0.7913  7 La 3.39-3.53
Pb  0.5000  0.0000  0.0000  8 La 3.28-3.44
I  0.6939  0.4035  0.2087  7 La 3.39-3.53
I  0.0952  0.2015  0.6080  5 La 3.37-3.56
La  0.8954  0.3021  0.9072  5 I 3.37-3.53, 3 Pb 3.44
La  0.1046  0.6979  0.0928  5 I 3.37-3.53, 3 Pb 3.44
La  0.6949  0.9017  0.7084  1 Pb 3.28, 7 I 3.41-3.56
I  0.9048  0.7985  0.3920  5 La 3.37-3.56
La  0.3051  0.0983  0.2916  1 Pb 3.28, 7 I 3.41-3.56

---

# 3
A relaxed Sc2TeI crystal. Source: Alexandria via LeMat-Bulk, functional PBE.

Space group   No. 166
ρ   4.79 Mg/m³
Raw formation energy   -19.4 kJ/mol of atoms
Energy above the lowest structure with this stoichiometry   583.6 meV per atom
Total moment   0.0 μB per cell

Cell: 10.0831 10.0831 10.0831 Å, 21.39 21.39 21.39°
Closest atoms and distances in Å follow each position.
Fractional coordinates of all 4 atoms:
Sc  0.0913  0.0913  0.0913  1 Te 2.70
Te  0.0000  0.0000  0.0000  2 Sc 2.70
Sc  0.9087  0.9087  0.9087  1 Te 2.70
I  0.5000  0.5000  0.5000  6 Sc 3.10

---

# 4
A relaxed Tb2PrYN4 crystal. Source: Alexandria via LeMat-Bulk, functional PBE.

Space group   No. 10
ρ   7.96 Mg/m³
Raw formation energy   -149.6 kJ/mol of atoms
Total moment   0.0 μB per cell

Cell: 3.5444 6.1387 6.1386 Å, 109.42 90.00 90.00°
Closest atoms and distances in Å follow each position.
Fractional coordinates of all 8 atoms:
Tb  0.0000  0.5000  0.5000  6 N 2.51
Tb  0.5000  0.0000  0.5000  6 N 2.47
Y  0.0000  0.0000  0.0000  6 N 2.51
N  0.0000  0.2418  0.7420  3 Tb 2.47-2.51, 1 Y 2.51, 2 Pr 2.55
N  0.0000  0.7582  0.2580  3 Tb 2.47-2.51, 1 Y 2.51, 2 Pr 2.55
N  0.5000  0.2458  0.2535  3 Tb 2.47-2.51, 2 Y 2.51, 1 Pr 2.54
N  0.5000  0.7542  0.7465  3 Tb 2.47-2.51, 2 Y 2.51, 1 Pr 2.54
Pr  0.5000  0.5000  0.0000  6 N 2.54-2.55

---

# 5
A relaxed RbLiAg3 crystal. Source: Alexandria via LeMat-Bulk, functional PBE.

Space group   No. 221
ρ   5.25 Mg/m³
Formation energy   213.5 meV/atom
Energy above the lowest structure with this stoichiometry   0.0 meV per atom
Total moment   0.0 μB per cell

Cell: 5.0877 5.0877 5.0877 Å, 90.00 90.00 90.00°
Closest atoms and distances in Å follow each position.
Fractional coordinates of all 5 atoms:
Ag  0.0000  0.0000  0.5000  2 Li 2.54
Ag  0.5000  0.0000  0.0000  2 Li 2.54
Rb  0.5000  0.5000  0.5000  12 Ag 3.60
Li  0.0000  0.0000  0.0000  6 Ag 2.54
Ag  0.0000  0.5000  0.0000  2 Li 2.54

---

# 6
A relaxed Li3Cd2BPt3 crystal. Source: Alexandria via LeMat-Bulk, functional PBE.

Space group   No. 189
ρ   10.69 Mg/m³
Formation energy   -473.9 meV/atom
Total moment   0.0 μB per cell

Cell: 2.8912 7.2261 7.2261 Å, 120.00 90.00 90.00°
Closest atoms and distances in Å follow each position.
Fractional coordinates of all 9 atoms:
Pt  0.5000  0.2340  0.2340  2 B 2.22
B  0.0000  0.0000  0.0000  6 Pt 2.22
Li  0.0000  0.0000  0.3630  1 B 2.62, 4 Pt 2.72, 4 Cd 2.72, 2 Li 2.89
Cd  0.5000  0.3333  0.6667  6 Li 2.72, 3 Pt 2.84, 2 Cd 2.89
Li  0.0000  0.3630  0.0000  1 B 2.62, 4 Pt 2.72, 4 Cd 2.72, 2 Li 2.89
Li  0.0000  0.6370  0.6370  1 B 2.62, 4 Pt 2.72, 4 Cd 2.72, 2 Li 2.89
Pt  0.5000  0.0000  0.7660  2 B 2.22
Cd  0.5000  0.6667  0.3333  6 Li 2.72, 3 Pt 2.84, 2 Cd 2.89
Pt  0.5000  0.7660  0.0000  2 B 2.22